This record from the Alexandria database describes a geometry-optimized TbTcSn structure. The functional is PBE.

## Properties
E_tot, eV/atom: -6.545
Formation energy from the elements, meV per atom: -212

Cell lengths 10.397, 10.397, 10.397 Å; angles 23.15, 23.15, 23.15 degrees
Positions (direct):
Tb1 0.068 0.068 0.068
Tb2 0.932 0.932 0.932
Tc1 0.339 0.339 0.339
Tc2 0.661 0.661 0.661
Sn1 0.192 0.192 0.192
Sn2 0.808 0.808 0.808